Computed, not measured: In3CuC after structural relaxation at the PBE-GGA level of DFT.

Computed properties:
Formation energy in eV/atom: 0.94
DFT total energy in eV per formula unit: -16.82
Fermi-level density of states in states/eV/cell: 2.5
Space group: Pm-3m, No. 221
ΔE to the lowest computed polymorph in meV/atom: 0.0
Mass density in Mg/m³: 6.8

abc: 4.6902 4.6902 4.6902
angles: 90.00 90.00 90.00
Closest atoms and distances in Å follow each position.
Atoms (fractional coordinates):
C (0.0000, 0.0000, 0.0000)  6 In 2.35
In (0.5000, 0.0000, 0.0000)  2 C 2.35
In (0.0000, 0.0000, 0.5000)  2 C 2.35
In (0.0000, 0.5000, 0.0000)  2 C 2.35
Cu (0.5000, 0.5000, 0.5000)  12 In 3.32

=====

Computed, not measured: K2Ta2TlO7 after structural relaxation at the PBE-GGA level of DFT.

Computed properties:
DFT total energy in eV per formula unit: -89.78
Fermi-level density of states in states/eV/cell: 1.4
Space group: I4/mmm, No. 139
Mass density in Mg/m³: 7.0
Uncorrected formation energy in eV/atom: -2.234

abc: 3.9924 3.9924 11.6025
angles: 80.10 80.10 90.00
Closest atoms and distances in Å follow each position.
Atoms (fractional coordinates):
O (0.6823, 0.6823, 0.6348)  1 Ta 1.86
O (0.3177, 0.3177, 0.3652)  1 Ta 1.86
O (0.5920, 0.0921, 0.8153)  2 Ta 2.00
O (0.9079, 0.4080, 0.1847)  2 Ta 2.00
O (0.0921, 0.5920, 0.8153)  2 Ta 2.00
O (0.4080, 0.9079, 0.1847)  2 Ta 2.00
O (0.5000, 0.5000, 0.0000)  2 Ta 2.25
K (0.1935, 0.1935, 0.6127)  9 O 2.78-3.03
K (0.8065, 0.8065, 0.3873)  9 O 2.78-3.03
Ta (0.5997, 0.5997, 0.8003)  5 O 1.86-2.00
Ta (0.4003, 0.4003, 0.1997)  5 O 1.86-2.00
Tl (0.0000, 0.0000, 0.0000)  12 O 2.82-2.88

=====

Computed, not measured: NdEr14Th after structural relaxation at the PBE-GGA level of DFT.

Computed properties:
Formation energy in eV/atom: 0.02
DFT total energy in eV per formula unit: -75.79
Fermi-level density of states in states/eV/cell: 21.0
Space group: Amm2, No. 38
Mass density in Mg/m³: 9.1

abc: 7.0737 7.0737 11.4079
angles: 90.00 90.00 119.76
Closest atoms and distances in Å follow each position.
Atoms (fractional coordinates):
Er (0.8731, 0.6219, 0.7530)  10 Er 3.48-3.58, 1 Th 3.52, 1 Nd 3.55
Er (0.3781, 0.1269, 0.7530)  10 Er 3.48-3.58, 1 Th 3.52, 1 Nd 3.55
Er (0.5416, 0.4584, 0.0000)  12 Er 3.47-3.55
Er (0.5419, 0.9573, 0.0000)  12 Er 3.48-3.56
Er (0.8731, 0.6219, 0.2470)  10 Er 3.48-3.58, 1 Th 3.52, 1 Nd 3.55
Er (0.3757, 0.6243, 0.7532)  11 Er 3.47-3.55, 1 Nd 3.54
Er (0.3781, 0.1269, 0.2470)  10 Er 3.48-3.58, 1 Th 3.52, 1 Nd 3.55
Er (0.8734, 0.1266, 0.7504)  11 Er 3.50-3.57, 1 Th 3.51
Er (0.2080, 0.2917, 0.5000)  8 Er 3.52-3.55, 2 Th 3.52-3.55, 2 Nd 3.53-3.54
Er (0.3757, 0.6243, 0.2468)  11 Er 3.47-3.55, 1 Nd 3.54
Er (0.8734, 0.1266, 0.2496)  11 Er 3.50-3.57, 1 Th 3.51
Er (0.0418, 0.9582, 0.0000)  12 Er 3.49-3.55
Er (0.0427, 0.4581, 0.0000)  12 Er 3.48-3.56
Er (0.7083, 0.7920, 0.5000)  8 Er 3.52-3.55, 2 Th 3.52-3.55, 2 Nd 3.53-3.54
Th (0.7067, 0.2933, 0.5000)  10 Er 3.51-3.55, 2 Nd 3.55
Nd (0.2085, 0.7915, 0.5000)  10 Er 3.53-3.55, 2 Th 3.55

=====

Computed, not measured: Tb4Pr2Dy7 after structural relaxation at the PBE-GGA level of DFT.

Computed properties:
Formation energy in eV/atom: 0.18
DFT total energy in eV per formula unit: -57.97
Fermi-level density of states in states/eV/cell: 18.2
Space group: P-31m, No. 162
Mass density in Mg/m³: 7.9

abc: 6.0944 6.0944 13.3801
angles: 90.00 90.00 120.00
Closest atoms and distances in Å follow each position.
Atoms (fractional coordinates):
Dy (0.0000, 0.0000, 0.0000)  6 Pr 3.52, 6 Dy 3.62
Dy (0.3536, 0.0000, 0.7829)  1 Tb 3.21, 4 Dy 3.42, 2 Pr 3.51
Dy (0.6464, 0.6464, 0.7829)  1 Tb 3.21, 4 Dy 3.42, 2 Pr 3.51
Dy (0.3536, 0.3536, 0.2171)  1 Tb 3.21, 4 Dy 3.42, 2 Pr 3.51
Dy (0.0000, 0.3536, 0.7829)  1 Tb 3.21, 4 Dy 3.42, 2 Pr 3.51
Dy (0.0000, 0.6464, 0.2171)  1 Tb 3.21, 4 Dy 3.42, 2 Pr 3.51
Dy (0.6464, 0.0000, 0.2171)  1 Tb 3.21, 4 Dy 3.42, 2 Pr 3.51
Tb (0.0000, 0.0000, 0.3948)  1 Tb 2.82
Tb (0.6667, 0.3333, 0.5000)  9 Tb 3.52-3.79
Tb (0.3333, 0.6667, 0.5000)  9 Tb 3.52-3.79
Tb (0.0000, 0.0000, 0.6052)  1 Tb 2.82
Pr (0.6667, 0.3333, 0.0000)  9 Dy 3.51-3.52, 3 Pr 3.52
Pr (0.3333, 0.6667, 0.0000)  9 Dy 3.51-3.52, 3 Pr 3.52

=====

Computed, not measured: SiWN3 after structural relaxation at the PBE-GGA level of DFT.

Computed properties:
DFT total energy in eV per formula unit: -40.32
Fermi-level density of states in states/eV/cell: 2.5
Space group: Pm-3m, No. 221
Mass density in Mg/m³: 9.5
Uncorrected formation energy in eV/atom: 0.607

abc: 3.5380 3.5380 3.5380
angles: 90.00 90.00 90.00
Closest atoms and distances in Å follow each position.
Atoms (fractional coordinates):
Si (0.0000, 0.0000, 0.0000)  6 N 1.77
N (0.5000, 0.0000, 0.0000)  2 Si 1.77
N (0.0000, 0.5000, 0.0000)  2 Si 1.77
N (0.0000, 0.0000, 0.5000)  2 Si 1.77
W (0.5000, 0.5000, 0.5000)  12 N 2.50

=====

Computed, not measured: BaCaSmSbO6 after structural relaxation at the PBE-GGA level of DFT.

Computed properties:
DFT total energy in eV per formula unit: -67.73
Fermi-level density of states in states/eV/cell: 0.0
Space group: F-43m, No. 216
Mass density in Mg/m³: 5.8
Uncorrected formation energy in eV/atom: -2.522

abc: 6.0312 6.0312 6.0312
angles: 60.00 60.00 60.00
Closest atoms and distances in Å follow each position.
Atoms (fractional coordinates):
Ca (0.7500, 0.7500, 0.7500)  12 O 3.02
O (0.2344, 0.7656, 0.2344)  1 Sb 2.00
O (0.2344, 0.2344, 0.7656)  1 Sb 2.00
O (0.7656, 0.2344, 0.2344)  1 Sb 2.00
O (0.2344, 0.7656, 0.7656)  1 Sb 2.00
O (0.7656, 0.7656, 0.2344)  1 Sb 2.00
O (0.7656, 0.2344, 0.7656)  1 Sb 2.00
Sm (0.5000, 0.5000, 0.5000)  6 O 2.27
Ba (0.2500, 0.2500, 0.2500)  12 O 3.02
Sb (0.0000, 0.0000, 0.0000)  6 O 2.00

=====

Computed, not measured: MgOs3O after structural relaxation at the PBE-GGA level of DFT.

Computed properties:
DFT total energy in eV per formula unit: -24.25
Fermi-level density of states in states/eV/cell: 4.9
Space group: Pm-3m, No. 221
ΔE to the lowest computed polymorph in meV/atom: 2469.5
Mass density in Mg/m³: 10.8
Uncorrected formation energy in eV/atom: 3.198

abc: 4.5393 4.5393 4.5393
angles: 90.00 90.00 90.00
Closest atoms and distances in Å follow each position.
Atoms (fractional coordinates):
Os (0.0000, 0.5000, 0.0000)  2 Mg 2.27
Os (0.0000, 0.0000, 0.5000)  2 Mg 2.27
Os (0.5000, 0.0000, 0.0000)  2 Mg 2.27
Mg (0.0000, 0.0000, 0.0000)  6 Os 2.27
O (0.5000, 0.5000, 0.5000)  12 Os 3.21

=====

Computed, not measured: PmPuH2 after structural relaxation at the PBE-GGA level of DFT.

Computed properties:
DFT total energy in eV per formula unit: -26.94
Fermi-level density of states in states/eV/cell: 7.7
Space group: R-3m, No. 166
Mass density in Mg/m³: 10.4

abc: 3.5140 3.5140 6.1586
angles: 73.42 73.42 60.00
Closest atoms and distances in Å follow each position.
Atoms (fractional coordinates):
H (0.2511, 0.2511, 0.2467)  3 Pm 2.48, 3 Pu 2.51
H (0.7489, 0.7489, 0.7533)  3 Pm 2.48, 3 Pu 2.51
Pu (0.5000, 0.5000, 0.5000)  6 H 2.51
Pm (0.0000, 0.0000, 0.0000)  6 H 2.48

=====

Computed, not measured: ZrTl2F after structural relaxation at the PBE-GGA level of DFT.

Computed properties:
DFT total energy in eV per formula unit: -16.04
Fermi-level density of states in states/eV/cell: 2.9
Space group: Fm-3m, No. 225
ΔE to the lowest computed polymorph in meV/atom: 110.4
Mass density in Mg/m³: 9.6
Uncorrected formation energy in eV/atom: -0.223

abc: 5.0228 5.0228 5.0228
angles: 60.00 60.00 60.00
Closest atoms and distances in Å follow each position.
Atoms (fractional coordinates):
Tl (0.2500, 0.2500, 0.2500)  4 Zr 3.08, 4 F 3.08
Tl (0.7500, 0.7500, 0.7500)  4 Zr 3.08, 4 F 3.08
F (0.0000, 0.0000, 0.0000)  8 Tl 3.08
Zr (0.5000, 0.5000, 0.5000)  8 Tl 3.08

=====

Computed, not measured: Ac8SiOs3Br4 after structural relaxation at the PBE-GGA level of DFT.

Computed properties:
DFT total energy in eV per formula unit: -91.44
Fermi-level density of states in states/eV/cell: 9.4
Space group: R-3m, No. 166
Mass density in Mg/m³: 8.3
Uncorrected formation energy in eV/atom: -0.798

abc: 8.8418 9.5822 8.8418
angles: 117.48 120.00 90.00
Closest atoms and distances in Å follow each position.
Atoms (fractional coordinates):
Os (0.5000, 0.5000, 0.0000)  6 Ac 2.95-3.04
Os (0.5000, 0.5000, 0.5000)  6 Ac 2.95-3.04
Os (0.0000, 0.5000, 0.5000)  6 Ac 2.95-3.04
Ac (0.7613, 0.3071, 0.0457)  2 Os 2.95, 1 Si 3.09
Ac (0.7613, 0.3070, 0.5226)  2 Os 2.95, 1 Si 3.09
Ac (0.2657, 0.2973, 0.5314)  3 Os 3.04
Ac (0.2844, 0.3071, 0.0457)  2 Os 2.95, 1 Si 3.09
Ac (0.7156, 0.6929, 0.9543)  2 Os 2.95, 1 Si 3.09
Ac (0.7343, 0.7027, 0.4686)  3 Os 3.04
Ac (0.2387, 0.6930, 0.4774)  2 Os 2.95, 1 Si 3.09
Ac (0.2387, 0.6929, 0.9543)  2 Os 2.95, 1 Si 3.09
Br (0.0000, 0.0000, 0.0000)  6 Ac 3.51-3.61
Br (0.0000, 0.0000, 0.5000)  6 Ac 3.51-3.61
Br (0.5000, 0.0000, 0.0000)  6 Ac 3.48
Br (0.5000, 0.0000, 0.5000)  6 Ac 3.51-3.61
Si (0.0000, 0.5000, 0.0000)  6 Ac 3.09

=====

Computed, not measured: OsPbN2F after structural relaxation at the PBE-GGA level of DFT.

Computed properties:
DFT total energy in eV per formula unit: -23.78
Fermi-level density of states in states/eV/cell: 3.9
Space group: P4/mmm, No. 123
ΔE to the lowest computed polymorph in meV/atom: 1887.0
Mass density in Mg/m³: 9.2
Uncorrected formation energy in eV/atom: 1.937

abc: 4.3527 4.3527 4.2559
angles: 90.00 90.00 90.00
Closest atoms and distances in Å follow each position.
Atoms (fractional coordinates):
N (0.0000, 0.5000, 0.0000)  2 Pb 2.18
N (0.5000, 0.0000, 0.0000)  2 Pb 2.18
Os (0.5000, 0.5000, 0.5000)  8 N 3.04, 4 F 3.08
Pb (0.0000, 0.0000, 0.0000)  2 F 2.13, 4 N 2.18
F (0.0000, 0.0000, 0.5000)  2 Pb 2.13

=====

Computed, not measured: ZrCrAgBi2 after structural relaxation at the PBE-GGA level of DFT.

Computed properties:
Formation energy in eV/atom: 1.08
DFT total energy in eV per formula unit: -23.37
Fermi-level density of states in states/eV/cell: 4.8
Space group: P4/mmm, No. 123
Mass density in Mg/m³: 7.2

abc: 5.4031 5.3150 5.4031
angles: 90.00 90.00 90.00
Closest atoms and distances in Å follow each position.
Atoms (fractional coordinates):
Bi (0.5000, 0.0000, 0.0000)  2 Ag 2.70
Bi (0.0000, 0.0000, 0.5000)  2 Ag 2.70
Ag (0.0000, 0.0000, 0.0000)  2 Zr 2.66, 4 Bi 2.70
Zr (0.0000, 0.5000, 0.0000)  2 Ag 2.66
Cr (0.5000, 0.5000, 0.5000)  8 Bi 3.79, 4 Zr 3.82

=====

Computed, not measured: Zr2TlIn after structural relaxation at the PBE-GGA level of DFT.

Computed properties:
Formation energy in eV/atom: -0.09
DFT total energy in eV per formula unit: -22.57
Fermi-level density of states in states/eV/cell: 3.6
Space group: P4/mmm, No. 123
ΔE to the lowest computed polymorph in meV/atom: 100.9
Mass density in Mg/m³: 9.2

abc: 5.3831 5.3831 3.1394
angles: 90.00 90.00 90.00
Closest atoms and distances in Å follow each position.
Atoms (fractional coordinates):
Zr (0.0000, 0.0000, 0.0000)  4 In 3.12, 4 Tl 3.12, 2 Zr 3.14
Zr (0.5000, 0.5000, 0.0000)  4 Tl 3.12, 4 In 3.12, 2 Zr 3.14
Tl (0.0000, 0.5000, 0.5000)  8 Zr 3.12, 2 Tl 3.14
In (0.5000, 0.0000, 0.5000)  8 Zr 3.12, 2 In 3.14

=====

Computed, not measured: YTaTc2 after structural relaxation at the PBE-GGA level of DFT.

Computed properties:
Formation energy in eV/atom: 0.33
DFT total energy in eV per formula unit: -37.73
Fermi-level density of states in states/eV/cell: 4.9
Space group: P2/m, No. 10
Mass density in Mg/m³: 10.5

abc: 3.1284 5.6085 5.5013
angles: 49.67 90.00 90.00
Closest atoms and distances in Å follow each position.
Atoms (fractional coordinates):
Tc (0.0000, 0.0000, 0.0000)  2 Ta 2.75, 4 Y 2.81
Tc (0.5000, 0.5000, 0.0000)  2 Y 2.75, 4 Ta 2.81
Ta (0.0000, 0.0000, 0.5000)  6 Tc 2.75-2.81
Y (0.5000, 0.5000, 0.5000)  6 Tc 2.75-2.81

=====

Computed, not measured: YTa2Ga after structural relaxation at the PBE-GGA level of DFT.

Computed properties:
Formation energy in eV/atom: 0.41
DFT total energy in eV per formula unit: -31.54
Fermi-level density of states in states/eV/cell: 5.5
Space group: I-42d, No. 122
Mass density in Mg/m³: 10.2

abc: 4.0528 4.0528 10.7519
angles: 79.14 79.14 90.00
Closest atoms and distances in Å follow each position.
Atoms (fractional coordinates):
Ta (0.8750, 0.8670, 0.7500)  4 Ta 2.82-2.91, 2 Ga 2.95, 2 Y 2.97
Ta (0.1330, 0.6250, 0.2500)  4 Ta 2.82-2.91, 2 Ga 2.95, 2 Y 2.97
Ta (0.3750, 0.3830, 0.7500)  4 Ta 2.82-2.91, 2 Ga 2.95, 2 Y 2.97
Ta (0.6170, 0.1250, 0.2500)  4 Ta 2.82-2.91, 2 Ga 2.95, 2 Y 2.97
Y (0.7500, 0.2500, 0.5000)  4 Ga 2.87, 4 Ta 2.97
Y (0.0000, 0.0000, 0.0000)  4 Ga 2.87, 4 Ta 2.97
Ga (0.2500, 0.7500, 0.5000)  4 Y 2.87, 4 Ta 2.95
Ga (0.5000, 0.5000, 0.0000)  4 Y 2.87, 4 Ta 2.95

=====

Computed, not measured: Rb2SrOsO6 after structural relaxation at the PBE-GGA level of DFT.

Computed properties:
DFT total energy in eV per formula unit: -60.22
Space group: P-3m1, No. 164
Mass density in Mg/m³: 4.0
Uncorrected formation energy in eV/atom: -1.563

abc: 6.2326 6.4430 6.4430
angles: 120.00 90.00 90.00
Closest atoms and distances in Å follow each position.
Atoms (fractional coordinates):
O (0.8206, 0.7283, 0.8642)  1 Os 1.88
O (0.8206, 0.1358, 0.8642)  1 Os 1.88
O (0.1794, 0.8642, 0.7283)  1 Os 1.88
O (0.1794, 0.8642, 0.1358)  1 Os 1.88
O (0.8206, 0.1358, 0.2717)  1 Os 1.88
O (0.1794, 0.2717, 0.1358)  1 Os 1.88
Os (0.0000, 0.0000, 0.0000)  6 O 1.88
Rb (0.8910, 0.6667, 0.3333)  3 O 2.84
Rb (0.1090, 0.3333, 0.6667)  3 O 2.84
Sr (0.5000, 0.0000, 0.0000)  6 O 2.51

=====

Computed, not measured: CdRe2Te after structural relaxation at the PBE-GGA level of DFT.

Computed properties:
DFT total energy in eV per formula unit: -27.44
Fermi-level density of states in states/eV/cell: 2.1
Space group: P4mm, No. 99
ΔE to the lowest computed polymorph in meV/atom: 0.0
Mass density in Mg/m³: 12.5
Uncorrected formation energy in eV/atom: 0.379

abc: 3.0380 3.0380 8.7993
angles: 90.00 90.00 90.00
Closest atoms and distances in Å follow each position.
Atoms (fractional coordinates):
Re (0.0000, 0.0000, 0.0382)  4 Re 2.64, 4 Cd 2.94
Re (0.5000, 0.5000, 0.2129)  4 Re 2.64, 4 Te 2.93
Cd (0.5000, 0.5000, 0.8095)  4 Re 2.94, 4 Cd 3.04
Te (0.0000, 0.0000, 0.4393)  4 Re 2.93, 4 Te 3.04

=====

Computed, not measured: CeSm2C after structural relaxation at the PBE-GGA level of DFT.

Computed properties:
Formation energy in eV/atom: 0.05
DFT total energy in eV per formula unit: -24.40
Fermi-level density of states in states/eV/cell: 6.8
Space group: R-3m, No. 166
Mass density in Mg/m³: 6.9

abc: 3.5556 3.5556 10.1629
angles: 79.93 79.93 60.00
Closest atoms and distances in Å follow each position.
Atoms (fractional coordinates):
Sm (0.1194, 0.1194, 0.6418)  3 C 2.49
Sm (0.8806, 0.8806, 0.3582)  3 C 2.49
C (0.5000, 0.5000, 0.5000)  6 Sm 2.49
Ce (0.0000, 0.0000, 0.0000)  6 Ce 3.56, 2 Sm 3.57